CrAgHPd2 | PBE | optimized geometry

## Properties
* SG: No. 123

Cell: 4.0351 4.0351 4.0298 Å, 90.00 90.00 90.00°
Last column: nearest neighbours and their distance in Å.
Positions (direct):
Cr (0.0000, 0.0000, 0.0000)  2 H 2.01
Ag (0.5000, 0.5000, 0.0000)  8 Pd 2.85, 4 Cr 2.85
H (0.0000, 0.0000, 0.5000)  2 Cr 2.01, 4 Pd 2.02
Pd (0.0000, 0.5000, 0.5000)  2 H 2.02
Pd (0.5000, 0.0000, 0.5000)  2 H 2.02

Ni5Pt | PBE | optimized geometry

## Properties
* ΔE_f: 0.24 eV/atom
* SG: No. 191

Cell: 4.6296 4.6296 4.0237 Å, 90.00 90.00 120.00°
Last column: nearest neighbours and their distance in Å.
Positions (direct):
Ni (0.0000, 0.5000, 0.0000)  8 Ni 2.31-2.42
Ni (0.3333, 0.6667, 0.5000)  9 Ni 2.42-2.67, 3 Pt 2.67
Ni (0.5000, 0.0000, 0.0000)  8 Ni 2.31-2.42
Ni (0.5000, 0.5000, 0.0000)  8 Ni 2.31-2.42
Ni (0.6667, 0.3333, 0.5000)  9 Ni 2.42-2.67, 3 Pt 2.67
Pt (0.0000, 0.0000, 0.5000)  6 Ni 2.67

no.,N(E_F) (states/eV per cell),final energy (eV/atom)
1,3.3,-5.249
2,11.3,-5.587